VASP calculation (meta-GGA SCAN) on a crystal of SiTc2Rh relaxed with PBEsol. Values from VASP.

The structure in Quantum ESPRESSO input format:
```
&SYSTEM
  ibrav = 0, nat = 4, ntyp = 3
/
ATOMIC_SPECIES
Si 28.09 Si.upf
Tc 98.00 Tc.upf
Rh 102.91 Rh.upf
CELL_PARAMETERS angstrom
1.370 0.791 8.267
-1.370 0.791 8.267
0.000 -1.582 8.267
ATOMIC_POSITIONS crystal
Si 0.000 0.000 0.000
Tc 0.499 0.499 0.499
Tc 0.749 0.749 0.749
Rh 0.258 0.258 0.258
```

## Properties
Its total magnetization is 0.0 Bohr magnetons per cell. The final energy comes out at -28.74 eV/atom.

VASP calculation (meta-GGA SCAN) on a crystal of Si4TeRh relaxed with PBEsol. Values from VASP.

The structure in Quantum ESPRESSO input format:
```
&SYSTEM
  ibrav = 0, nat = 6, ntyp = 3
/
ATOMIC_SPECIES
Si 28.09 Si.upf
Te 127.60 Te.upf
Rh 102.91 Rh.upf
CELL_PARAMETERS angstrom
0.000 3.644 3.644
3.644 0.000 3.644
3.644 3.644 0.000
ATOMIC_POSITIONS crystal
Si 0.125 0.125 0.125
Si 0.125 0.125 0.624
Si 0.125 0.624 0.125
Si 0.624 0.125 0.125
Te 0.750 0.750 0.750
Rh 0.500 0.500 0.500
```

## Properties
Its total magnetization is 0.0 Bohr magnetons per cell. The final energy comes out at -17.78 eV/atom.

VASP calculation (meta-GGA SCAN) on a crystal of SiTeRh3 relaxed with PBEsol. Values from VASP.

The structure in Quantum ESPRESSO input format:
```
&SYSTEM
  ibrav = 0, nat = 5, ntyp = 3
/
ATOMIC_SPECIES
Si 28.09 Si.upf
Te 127.60 Te.upf
Rh 102.91 Rh.upf
CELL_PARAMETERS angstrom
4.419 0.000 0.000
0.000 4.419 0.000
0.000 0.000 4.419
ATOMIC_POSITIONS crystal
Si 0.000 0.000 0.000
Te 0.500 0.500 0.500
Rh 0.000 0.000 0.500
Rh 0.000 0.500 0.000
Rh 0.500 0.000 0.000
```

## Properties
Its total magnetization is 0.0 Bohr magnetons per cell. The final energy comes out at -29.59 eV/atom.

VASP calculation (meta-GGA SCAN) on a crystal of SiTeRh relaxed with PBEsol. Values from VASP.

The structure in Quantum ESPRESSO input format:
```
&SYSTEM
  ibrav = 0, nat = 3, ntyp = 3
/
ATOMIC_SPECIES
Si 28.09 Si.upf
Te 127.60 Te.upf
Rh 102.91 Rh.upf
CELL_PARAMETERS angstrom
0.000 3.051 3.051
3.051 0.000 3.051
3.051 3.051 0.000
ATOMIC_POSITIONS crystal
Si 0.000 0.000 0.000
Te 0.750 0.750 0.750
Rh 0.250 0.250 0.250
```

## Properties
Its total magnetization is 0.0 Bohr magnetons per cell. The final energy comes out at -26.74 eV/atom.